Record 1
The following is a PBE calculation of crystalline LiCe2Ir at its relaxed geometry, from Alexandria via LeMat-Bulk.

Properties
Magnetic moment (Bohr magnetons per cell): 5.7
E (eV per atom): -5.897
Formation energy (eV per formula unit): -0.947
D(E_F) (states/eV per cell): 39.5

Cell: 4.0785 4.0785 24.5663 Å, 90.00 90.00 120.00°
Closest atoms and distances in Å follow each position.
Space group R3m (No. 160, hexagonal axes)
Unique sites:
Li1 0.0000 0.0000 0.0000 x3  6 Ce 3.47-3.52
Ce1 0.0000 0.0000 0.2297 x3  3 Ir 2.79
Ce2 0.0000 0.0000 0.4396 x3  3 Ir 2.81
Ir1 0.0000 0.0000 0.8354 x3  6 Ce 2.79-2.81

Record 2
The following is a PBE calculation of crystalline LiCe2Ir at its relaxed geometry, from Alexandria via LeMat-Bulk.

Properties
Magnetic moment (Bohr magnetons per cell): 0.6
E (eV per atom): -5.940
Formation energy (eV per formula unit): -1.117
D(E_F) (states/eV per cell): 7.8

Cell: 4.7953 4.7953 3.7723 Å, 90.00 90.00 90.00°
Closest atoms and distances in Å follow each position.
Space group P4/mmm (No. 123)
Unique sites:
Li1 0.0000 0.0000 0.0000 x1  8 Ce 3.05, 4 Ir 3.39
Ce1 0.0000 0.5000 0.5000 x2  4 Li 3.05, 4 Ir 3.05, 4 Ce 3.39
Ir1 0.5000 0.5000 0.0000 x1  8 Ce 3.05, 4 Li 3.39

What is the formula in the first record? LiCe2Ir